Record 1
# AcP2Pt (PBE, optimized geometry)
# VASP energy	-5.81	eV/atom
# density of states at the Fermi level	0.88	states/eV/atom
# energy above the most stable polymorph in this dataset	0.0000	eV per atom
# crystal system	trigonal
data_AcP2Pt
_cell_length_a 5.4285
_cell_length_b 5.4285
_cell_length_c 10.5891
_cell_angle_alpha 90.00
_cell_angle_beta 90.00
_cell_angle_gamma 120.00
_symmetry_space_group_name_H-M 'R -3 m'
_symmetry_Int_Tables_number 166
_symmetry_space_group_name_Hall '-R 3 2"'
loop_
_atom_site_label
_atom_site_type_symbol
_atom_site_fract_x
_atom_site_fract_y
_atom_site_fract_z
_atom_site_occupancy
Ac1 Ac 0.0000 0.0000 0.0000 1
P1 P 0.0000 0.0000 0.2856 1
Pt1 Pt 0.0000 0.0000 0.5000 1

Record 2
# AcPPt (PBE, optimized geometry)
# VASP energy	-6.51	eV/atom
# density of states at the Fermi level	0.50	states/eV/atom
# energy above the most stable polymorph in this dataset	0.0027	eV per atom
# crystal system	hexagonal
data_AcPPt
_cell_length_a 4.3190
_cell_length_b 4.3190
_cell_length_c 4.2547
_cell_angle_alpha 90.00
_cell_angle_beta 90.00
_cell_angle_gamma 120.00
_symmetry_space_group_name_H-M 'P -6 m 2'
_symmetry_Int_Tables_number 187
_symmetry_space_group_name_Hall 'P -6 2'
loop_
_atom_site_label
_atom_site_type_symbol
_atom_site_fract_x
_atom_site_fract_y
_atom_site_fract_z
_atom_site_occupancy
Ac1 Ac 0.0000 0.0000 0.0000 1
P1 P 0.3333 0.6667 0.5000 1
Pt1 Pt 0.6667 0.3333 0.5000 1